Record 1
Density functional theory data (PBE) for a relaxed Dy3Si3Ni2 crystal.

Lattice parameters (Å, degrees): 4.152 5.479 13.897 90.00 90.00 112.27
Positions (direct):
Si 0.381 0.762 0.962
Si 0.381 0.762 0.538
Si 0.619 0.238 0.038
Si 0.327 0.655 0.250
Si 0.619 0.238 0.462
Si 0.673 0.345 0.750
Dy 0.911 0.821 0.390
Dy 0.628 0.257 0.250
Dy 0.911 0.821 0.110
Dy 0.089 0.179 0.890
Dy 0.089 0.179 0.610
Dy 0.372 0.743 0.750
Ni 0.202 0.405 0.096
Ni 0.202 0.405 0.404
Ni 0.798 0.595 0.596
Ni 0.798 0.595 0.904

Output
E_form (uncorrected)   -6.57 eV/f.u.

---

Record 2
Density functional theory data (PBE) for a relaxed MgGa4Pd crystal.

Lattice parameters (Å, degrees): 5.016 5.054 9.129 97.84 106.08 105.10
Positions (direct):
Ga 0.422 0.419 0.343
Ga 0.641 0.148 0.816
Ga 0.934 0.905 0.341
Ga 0.578 0.581 0.657
Ga 0.835 0.328 0.184
Ga 0.165 0.672 0.816
Ga 0.359 0.852 0.184
Ga 0.066 0.095 0.659
Pd 0.500 0.000 0.500
Pd 0.000 0.500 0.500
Mg 0.760 0.737 0.997
Mg 0.240 0.263 0.003

Output
Electronic total energy   -40.35 eV for the cell shown

---

How do the records compare in total moment? In the order shown, they have 0.00 0.00 μB per formula unit.